This record from Alexandria describes a geometry-optimized Zn2NiPO structure. The functional is PBE+U.

The structure belongs to space group P4/mmm (No. 123); the cell edges are 4.143, 4.143 and 3.983 Å and the angles 90.00°, 90.00° and 90.00°. The inequivalent atoms are Zn at (0.000, 0.500, 0.000), Ni at (0.000, 0.000, 0.500), P at (0.500, 0.500, 0.500) and O at (0.000, 0.000, 0.000).

Its total energy is -3.198 eV/atom. The energy above the lowest structure with this stoichiometry comes out at 0.0 meV/atom.